No. 1
Compound: In2PRh
Source: the Alexandria database
Functional: PBE-GGA
Structure: optimized geometry

Lattice parameters (Å, degrees): 5.001 5.001 5.001 129.17 129.17 74.74
Sites, in units of the cell vectors:
In  0.250  0.750  0.500
In  0.750  0.250  0.500
P  0.000  0.000  0.000
Rh  0.500  0.500  0.000

Summary:
The uncorrected energy comes out at -17.7 eV per cell.

No. 2
Compound: SmTm7Cd4
Source: the Alexandria database
Functional: PBE-GGA
Structure: optimized geometry

Lattice parameters (Å, degrees): 7.807 7.807 9.620 119.44 119.44 42.43
Sites, in units of the cell vectors:
Sm  0.000  0.000  0.000
Tm  0.073  0.073  0.416
Tm  0.207  0.207  0.880
Tm  0.262  0.262  0.306
Tm  0.500  0.500  0.000
Tm  0.738  0.738  0.694
Tm  0.793  0.793  0.120
Tm  0.927  0.927  0.584
Cd  0.318  0.318  0.660
Cd  0.458  0.458  0.289
Cd  0.542  0.542  0.711
Cd  0.682  0.682  0.340

Summary:
The uncorrected energy comes out at -39.4 eV per cell.

No. 3
Compound: AlFe2Pb
Source: the Alexandria database
Functional: PBE-GGA
Structure: optimized geometry

Lattice parameters (Å, degrees): 3.294 3.105 6.516 90.00 97.69 90.00
Sites, in units of the cell vectors:
Al  0.000  0.000  0.000
Fe  0.454  0.500  0.818
Fe  0.546  0.500  0.182
Pb  0.000  0.000  0.500

Summary:
The uncorrected energy comes out at -23.4 eV per cell. The value obtained for the energy above the lowest structure with this stoichiometry is 20 meV/atom.

No. 4
Compound: TbSm8Sc4
Source: the Alexandria database
Functional: PBE-GGA
Structure: optimized geometry

Lattice parameters (Å, degrees): 10.314 10.314 10.314 39.79 39.79 39.79
Sites, in units of the cell vectors:
Tb  0.000  0.000  0.000
Sm  0.253  0.253  0.717
Sm  0.253  0.717  0.253
Sm  0.283  0.747  0.747
Sm  0.288  0.288  0.288
Sm  0.712  0.712  0.712
Sm  0.717  0.253  0.253
Sm  0.747  0.283  0.747
Sm  0.747  0.747  0.283
Sc  0.000  0.000  0.500
Sc  0.000  0.500  0.000
Sc  0.500  0.000  0.000
Sc  0.500  0.500  0.500

Summary:
The uncorrected energy comes out at -64.6 eV per cell.

Across the entries above, energy of formation from the pure elements takes the values 0.13; 0.03; 0.24; 0.24 eV/atom, respectively.
Across the entries above, volume takes the values 18.3; 28.0; 16.5; 31.1 A^3/atom, respectively.